## Ti2FeO (PBE+U)

Data for an optimized crystal structure of Ti2FeO.

a = 2.7876 Å, b = 2.7876 Å, c = 24.0750 Å
α = 90.00°, β = 90.00°, γ = 120.00°
Positions (direct):
1 Ti 0.0000 0.0000 0.1080
2 Ti 0.0000 0.0000 0.8920
3 Ti 0.3333 0.6667 0.5587
4 Ti 0.3333 0.6667 0.7746
5 Ti 0.6667 0.3333 0.2254
6 Ti 0.6667 0.3333 0.4413
7 Fe 0.0000 0.0000 0.0000
8 Fe 0.3333 0.6667 0.6667
9 Fe 0.6667 0.3333 0.3333
10 O 0.0000 0.0000 0.5000
11 O 0.3333 0.6667 0.1667
12 O 0.6667 0.3333 0.8333

Properties
DFT total energy, eV per atom: -7.4025
M_tot, μB per formula unit: 2.97